Here is a relaxed BeCu2F5 crystal from Alexandria via LeMat-Bulk. Energies are from GGA-PBE.

calculated volume	12.707	Å³/atom
E	-75.2	eV per cell
magnetic moment	2.0	Bohr magnetons per cell
E_form (uncorrected)	-2.041	eV per atom
symmetry	No. 15
theoretical density	3.77	g/cm³

The structure in POSCAR format:
```
BeCu2F5
1.0
5.1944 0.3271 2.4196
-0.1370 5.2029 2.4196
0.2103 0.2299 7.7114
Cu F Be
4 10 2
direct
0.5000 0.5000 0.5000
0.5000 0.5000 0.0000
0.0000 0.5000 0.5000
0.5000 0.0000 0.0000
0.1753 0.1741 0.6122
0.8259 0.8247 0.8878
0.6240 0.3760 0.7500
0.7857 0.2823 0.3908
0.8247 0.8259 0.3878
0.2823 0.7857 0.8908
0.3760 0.6240 0.2500
0.2143 0.7177 0.6092
0.1741 0.1753 0.1122
0.7177 0.2143 0.1092
0.8753 0.1247 0.2500
0.1247 0.8753 0.7500
```

Here is a relaxed Be2CuF crystal from Alexandria via LeMat-Bulk. Energies are from GGA-PBE.

calculated volume	10.829	Å³/atom
E	-12.7	eV per cell
magnetic moment	0.0	Bohr magnetons per cell
E_form (uncorrected)	0.181	eV per atom
symmetry	No. 225
theoretical density	3.86	g/cm³

The structure in POSCAR format:
```
Be2CuF
1.0
0.0000 2.7875 2.7875
2.7875 0.0000 2.7875
2.7875 2.7875 0.0000
Cu F Be
1 1 2
direct
0.5000 0.5000 0.5000
0.0000 0.0000 0.0000
0.7500 0.7500 0.7500
0.2500 0.2500 0.2500
```

Here is a relaxed Be2CuF6 crystal from Alexandria via LeMat-Bulk. Energies are from GGA-PBE.

calculated volume	11.490	Å³/atom
E	-93.2	eV per cell
magnetic moment	2.0	Bohr magnetons per cell
E_form (uncorrected)	-2.648	eV per atom
symmetry	No. 15
theoretical density	3.14	g/cm³

The structure in POSCAR format:
```
Be2CuF6
1.0
5.3018 -0.1359 -0.1315
1.3824 6.2135 0.0125
1.3824 0.2138 6.2099
Be F Cu
4 12 2
direct
0.7259 0.3814 0.2268
0.7741 0.7732 0.6186
0.2259 0.2268 0.3814
0.2741 0.6186 0.7732
0.9507 0.3600 0.3599
0.5493 0.6401 0.6400
0.7947 0.8971 0.3968
0.6888 0.9360 0.8074
0.2947 0.3968 0.8971
0.7053 0.6032 0.1029
0.8112 0.1926 0.0640
0.2053 0.1029 0.6032
0.0493 0.6400 0.6401
0.1888 0.8074 0.9360
0.3112 0.0640 0.1926
0.4507 0.3599 0.3600
0.2500 0.1060 0.8940
0.7500 0.8940 0.1060
```

Here is a relaxed BeCuF crystal from Alexandria via LeMat-Bulk. Energies are from GGA-PBE.

calculated volume	11.633	Å³/atom
E	-26.1	eV per cell
magnetic moment	0.0	Bohr magnetons per cell
E_form (uncorrected)	-1.114	eV per atom
symmetry	No. 38
theoretical density	4.36	g/cm³

The structure in POSCAR format:
```
BeCuF
1.0
2.5067 0.0000 0.0000
-1.2534 2.1746 0.0000
0.0000 0.0000 12.8043
Be F Cu
2 2 2
direct
0.3344 0.6688 0.5000
0.5552 0.1103 0.0000
0.2214 0.4427 0.9178
0.2214 0.4427 0.0822
0.6672 0.3343 0.3573
0.6672 0.3343 0.6427
```

Here is a relaxed BeCuF3 crystal from Alexandria via LeMat-Bulk. Energies are from GGA-PBE.

calculated volume	9.016	Å³/atom
E	-23.4	eV per cell
magnetic moment	0.0	Bohr magnetons per cell
E_form (uncorrected)	-1.986	eV per atom
symmetry	No. 221
theoretical density	4.77	g/cm³

The structure in POSCAR format:
```
BeCuF3
1.0
3.5590 0.0000 0.0000
0.0000 3.5590 0.0000
0.0000 0.0000 3.5590
F Cu Be
3 1 1
direct
0.5000 0.0000 0.0000
0.0000 0.0000 0.5000
0.0000 0.5000 0.0000
0.5000 0.5000 0.5000
0.0000 0.0000 0.0000
```

Here is a relaxed Be2CuF crystal from Alexandria via LeMat-Bulk. Energies are from GGA-PBE.

calculated volume	10.092	Å³/atom
E	-30.4	eV per cell
magnetic moment	0.0	Bohr magnetons per cell
E_form (uncorrected)	-0.446	eV per atom
symmetry	No. 122
theoretical density	4.14	g/cm³

The structure in POSCAR format:
```
Be2CuF
1.0
5.1279 0.0000 0.0000
0.0000 5.1279 0.0000
2.5639 2.5639 3.0703
F Cu Be
2 2 4
direct
0.2500 0.7500 0.5000
0.5000 0.5000 0.0000
0.7500 0.2500 0.5000
0.0000 0.0000 0.0000
0.8750 0.8109 0.7500
0.3750 0.4391 0.7500
0.1891 0.6250 0.2500
0.5609 0.1250 0.2500
```